# 1
Computed, not measured: a geometry-optimized CuSbPb2 structure at the GGA-PBE level of DFT.

Unit cell a=4.6005 b=4.6005 c=10.0152 alpha=90.00 beta=90.00 gamma=90.00
Space group I-4m2 (No. 119)
Asymmetric unit:
Cu  0.0000  0.0000  0.0000 x2
Sb  0.0000  0.5000  0.2500 x2
Pb  0.0000  0.0000  0.5000 x2
Pb  0.0000  0.5000  0.7500 x2

* calculated total energy: -3.629 eV per atom

***

# 2
Computed, not measured: a geometry-optimized CuSb2Pb structure at the GGA-PBE level of DFT.

Unit cell a=6.2484 b=6.2484 c=13.0483 alpha=90.00 beta=90.00 gamma=90.00
Space group I-42d (No. 122)
Asymmetric unit:
Cu  0.0000  0.0000  0.0000 x4
Sb  0.1887  0.2500  0.1250 x8
Pb  0.0000  0.0000  0.5000 x4

* calculated total energy: -3.863 eV per atom

***

The records above yield N(E_F) values of 0.53, 0.54 states/eV/atom, respectively.